A geometry-optimized LiSmB4 structure. Source: OQMD, functional PBE-GGA.

Summary:
Symmetry: Immm (71)
Energy above the most stable polymorph in this dataset (meV per atom): 0

Cell: 5.0815 5.0815 5.0815 Å, 143.88 115.62 76.10°
Fractional coordinates of all 6 atoms:
B 0.5700 0.2456 0.3243
B 0.0787 0.7544 0.3243
B 0.9213 0.2456 0.6757
B 0.4300 0.7544 0.6757
Li 0.0000 0.0000 0.0000
Sm 0.5000 0.5000 0.0000

***

A geometry-optimized LiTaB4 structure. Source: OQMD, functional PBE-GGA.

Summary:
Symmetry: Immm (71)
Energy above the most stable polymorph in this dataset (meV per atom): 36

Cell: 4.5157 4.5157 4.5157 Å, 140.76 109.21 84.06°
Fractional coordinates of all 6 atoms:
B 0.5745 0.2454 0.3291
B 0.0837 0.7546 0.3291
B 0.9163 0.2454 0.6709
B 0.4255 0.7546 0.6709
Li 0.0000 0.0000 0.0000
Ta 0.5000 0.5000 0.0000

***

A geometry-optimized LiTaB4 structure. Source: OQMD, functional PBE-GGA.

Summary:
Symmetry: Pbam (55)
Energy above the most stable polymorph in this dataset (meV per atom): 383

Cell: 5.9570 11.5299 3.5205 Å, 90.00 90.00 90.00°
Fractional coordinates of all 24 atoms:
B 0.3747 0.0324 0.5000
B 0.8799 0.0511 0.5000
B 0.3119 0.1886 0.5000
B 0.9885 0.1987 0.5000
B 0.4885 0.3013 0.5000
B 0.8119 0.3114 0.5000
B 0.3799 0.4489 0.5000
B 0.8747 0.4676 0.5000
B 0.1253 0.5324 0.5000
B 0.6201 0.5511 0.5000
B 0.1881 0.6886 0.5000
B 0.5115 0.6987 0.5000
B 0.0115 0.8013 0.5000
B 0.6881 0.8114 0.5000
B 0.1201 0.9489 0.5000
B 0.6253 0.9676 0.5000
Li 0.6277 0.1479 0.0000
Li 0.1277 0.3521 0.0000
Li 0.8723 0.6479 0.0000
Li 0.3723 0.8521 0.0000
Ta 0.1410 0.0916 0.0000
Ta 0.6410 0.4084 0.0000
Ta 0.3590 0.5916 0.0000
Ta 0.8590 0.9084 0.0000

***

A geometry-optimized Li2TaB6 structure. Source: OQMD, functional PBE-GGA.

Summary:
Symmetry: Pbam (55)
Total energy (eV for the cell shown): -225.87

Cell: 8.9586 11.1391 3.4655 Å, 90.00 90.00 90.00°
Fractional coordinates of all 36 atoms:
B 0.5982 0.0264 0.5000
B 0.0507 0.0623 0.5000
B 0.2629 0.0761 0.5000
B 0.6262 0.1761 0.5000
B 0.9756 0.2124 0.5000
B 0.3012 0.2405 0.5000
B 0.8012 0.2595 0.5000
B 0.4756 0.2876 0.5000
B 0.1262 0.3239 0.5000
B 0.7629 0.4239 0.5000
B 0.5507 0.4377 0.5000
B 0.0982 0.4736 0.5000
B 0.9018 0.5264 0.5000
B 0.4493 0.5623 0.5000
B 0.2371 0.5761 0.5000
B 0.8738 0.6761 0.5000
B 0.5244 0.7124 0.5000
B 0.1988 0.7405 0.5000
B 0.6988 0.7595 0.5000
B 0.0244 0.7876 0.5000
B 0.3738 0.8239 0.5000
B 0.7371 0.9239 0.5000
B 0.9493 0.9377 0.5000
B 0.4018 0.9736 0.5000
Li 0.8204 0.0873 0.0000
Li 0.4477 0.1239 0.0000
Li 0.9477 0.3761 0.0000
Li 0.3204 0.4127 0.0000
Li 0.6796 0.5873 0.0000
Li 0.0523 0.6239 0.0000
Li 0.5523 0.8761 0.0000
Li 0.1796 0.9127 0.0000
Ta 0.1463 0.1815 0.0000
Ta 0.6463 0.3185 0.0000
Ta 0.3537 0.6815 0.0000
Ta 0.8537 0.8185 0.0000

***

A geometry-optimized LiTaB4 structure. Source: OQMD, functional PBE-GGA.

Summary:
Symmetry: P6/mmm (191)
Energy above the most stable polymorph in this dataset (meV per atom): 0

Cell: 3.0237 3.0237 7.0087 Å, 90.00 90.00 120.00°
Fractional coordinates of all 6 atoms:
B 0.6667 0.3333 0.2600
B 0.3333 0.6667 0.2600
B 0.6667 0.3333 0.7400
B 0.3333 0.6667 0.7400
Li 0.0000 0.0000 0.0000
Ta 0.0000 0.0000 0.5000

***

A geometry-optimized Li2TaB structure. Source: OQMD, functional PBE-GGA.

Summary:
Symmetry: F-43m (216)
Total energy (eV for the cell shown): -20.68

Cell: 3.9999 3.9999 3.9999 Å, 60.00 60.00 60.00°
Fractional coordinates of all 4 atoms:
B 0.5000 0.5000 0.5000
Li 0.0000 0.0000 0.0000
Li 0.7500 0.7500 0.7500
Ta 0.2500 0.2500 0.2500

***

A geometry-optimized LiTbB structure. Source: OQMD, functional PBE-GGA.

Summary:
Symmetry: F-43m (216)
Energy above the most stable polymorph in this dataset (meV per atom): 388

Cell: 4.1029 4.1029 4.1029 Å, 60.00 60.00 60.00°
Fractional coordinates of all 3 atoms:
B 0.2500 0.2500 0.2500
Li 0.0000 0.0000 0.0000
Tb 0.7500 0.7500 0.7500

***

A geometry-optimized LiTbB structure. Source: OQMD, functional PBE-GGA.

Summary:
Symmetry: F-43m (216)
Energy above the most stable polymorph in this dataset (meV per atom): 0

Cell: 4.2206 4.2206 4.2206 Å, 60.00 60.00 60.00°
Fractional coordinates of all 3 atoms:
B 0.0000 0.0000 0.0000
Li 0.2500 0.2500 0.2500
Tb 0.7500 0.7500 0.7500

***

A geometry-optimized LiTcB4 structure. Source: OQMD, functional PBE-GGA.

Summary:
Symmetry: P6/mmm (191)
Energy above the most stable polymorph in this dataset (meV per atom): 97

Cell: 2.9471 2.9471 7.0116 Å, 90.00 90.00 120.00°
Fractional coordinates of all 6 atoms:
B 0.6667 0.3333 0.2579
B 0.3333 0.6667 0.2579
B 0.6667 0.3333 0.7421
B 0.3333 0.6667 0.7421
Li 0.0000 0.0000 0.0000
Tc 0.0000 0.0000 0.5000

***

A geometry-optimized LiTc2B structure. Source: OQMD, functional PBE-GGA.

Summary:
Symmetry: F-43m (216)
Total energy (eV for the cell shown): -28.37

Cell: 4.0408 4.0408 4.0408 Å, 60.00 60.00 60.00°
Fractional coordinates of all 4 atoms:
B 0.5000 0.5000 0.5000
Li 0.2500 0.2500 0.2500
Tc 0.0000 0.0000 0.0000
Tc 0.7500 0.7500 0.7500

***

A geometry-optimized LiTcB4 structure. Source: OQMD, functional PBE-GGA.

Summary:
Symmetry: Immm (71)
Energy above the most stable polymorph in this dataset (meV per atom): 0

Cell: 4.3487 4.3487 4.3487 Å, 139.93 105.95 87.70°
Fractional coordinates of all 6 atoms:
B 0.5972 0.2564 0.3409
B 0.0845 0.7436 0.3409
B 0.9155 0.2564 0.6591
B 0.4028 0.7436 0.6591
Li 0.0000 0.0000 0.0000
Tc 0.5000 0.5000 0.0000

***

A geometry-optimized Li2TcB6 structure. Source: OQMD, functional PBE-GGA.

Summary:
Symmetry: Pbam (55)
Total energy (eV for the cell shown): -219.19

Cell: 9.1099 11.2476 3.0895 Å, 90.00 90.00 90.00°
Fractional coordinates of all 36 atoms:
B 0.0942 0.0262 0.5000
B 0.5511 0.0605 0.5000
B 0.7668 0.0742 0.5000
B 0.1299 0.1747 0.5000
B 0.4772 0.2109 0.5000
B 0.8052 0.2439 0.5000
B 0.3052 0.2561 0.5000
B 0.9772 0.2891 0.5000
B 0.6299 0.3253 0.5000
B 0.2668 0.4258 0.5000
B 0.0511 0.4395 0.5000
B 0.5942 0.4738 0.5000
B 0.4058 0.5262 0.5000
B 0.9489 0.5605 0.5000
B 0.7332 0.5742 0.5000
B 0.3701 0.6747 0.5000
B 0.0228 0.7109 0.5000
B 0.6948 0.7439 0.5000
B 0.1948 0.7561 0.5000
B 0.5228 0.7891 0.5000
B 0.8701 0.8253 0.5000
B 0.2332 0.9258 0.5000
B 0.4489 0.9395 0.5000
B 0.9058 0.9738 0.5000
Li 0.3258 0.0864 0.0000
Li 0.9470 0.1315 0.0000
Li 0.4470 0.3685 0.0000
Li 0.8258 0.4136 0.0000
Li 0.1742 0.5864 0.0000
Li 0.5530 0.6315 0.0000
Li 0.0530 0.8685 0.0000
Li 0.6742 0.9136 0.0000
Tc 0.6507 0.1804 0.0000
Tc 0.1507 0.3196 0.0000
Tc 0.8493 0.6804 0.0000
Tc 0.3493 0.8196 0.0000